Entry 1:
# BeFe2Rh

An optimized crystal structure of BeFe2Rh (PBE, the Alexandria database).

Cell: 2.6030 2.6030 23.9980 Å, 90.00 90.00 120.00°
With the nearest neighbours (Å) after each atom.
Space group R-3m (No. 166, hexagonal axes)
Unique sites:
Be1 0.0000 0.0000 0.0000 x3  6 Fe 2.37, 6 Be 2.60
Fe1 0.0000 0.0000 0.2571 x6  3 Be 2.37, 6 Fe 2.60, 3 Rh 2.64
Rh1 0.0000 0.0000 0.5000 x3  6 Rh 2.60, 6 Fe 2.64

ρ ... 7.91 g/cm3
Energy of formation ... 1.93 kcal/mol of atoms
M_tot ... 15.9 μB/cell
E ... -6.917 eV/atom

---

Entry 2:
# BeFe2RuRh

An optimized crystal structure of BeFe2RuRh (PBE, the Alexandria database).

Cell: 4.5454 4.5454 4.6412 Å, 90.00 90.00 90.00°
With the nearest neighbours (Å) after each atom.
Space group P4/mmm (No. 123)
Unique sites:
Be1 0.0000 0.0000 0.0000 x1  4 Ru 3.21, 8 Fe 3.25
Fe1 0.0000 0.5000 0.5000 x2  2 Rh 2.27
Ru1 0.5000 0.5000 0.0000 x1  2 Rh 2.32
Rh1 0.5000 0.5000 0.5000 x1  4 Fe 2.27, 2 Ru 2.32

ρ ... 5.62 g/cm3
Energy of formation ... 38.49 kcal/mol of atoms
M_tot ... 6.8 μB/cell
E ... -5.786 eV/atom

---

Entry 3:
# BeFeSiRh

An optimized crystal structure of BeFeSiRh (PBE, the Alexandria database).

Cell: 5.5710 5.5710 5.5710 Å, 90.00 90.00 90.00°
With the nearest neighbours (Å) after each atom.
Space group F-43m (No. 216)
Unique sites:
Be1 0.0000 0.0000 0.0000 x4  4 Fe 2.41, 4 Rh 2.41
Fe1 0.2500 0.2500 0.2500 x4  4 Be 2.41, 4 Si 2.41
Si1 0.0000 0.0000 0.5000 x4  4 Fe 2.41, 4 Rh 2.41
Rh1 0.2500 0.2500 0.7500 x4  4 Be 2.41, 4 Si 2.41

ρ ... 7.52 g/cm3
Uncorrected formation energy ... -0.593 eV/atom
M_tot ... 0.0 μB/cell
E ... -6.833 eV/atom

---

Entry 4:
# Be2FeSn2Rh5

An optimized crystal structure of Be2FeSn2Rh5 (PBE, the Alexandria database).

Cell: 9.3888 9.3888 3.1828 Å, 90.00 90.00 90.00°
With the nearest neighbours (Å) after each atom.
Space group P4/mbm (No. 127)
Unique sites:
Be1 0.1260 0.3740 0.0000 x4  6 Rh 2.31
Fe1 0.0000 0.0000 0.0000 x2  8 Rh 2.59
Sn1 0.1728 0.6728 0.0000 x4  3 Be 2.67-2.84, 6 Rh 2.79-2.83
Rh1 0.0000 0.5000 0.5000 x2  4 Be 2.31
Rh2 0.0800 0.2021 0.5000 x8  2 Be 2.31

ρ ... 9.78 g/cm3
Energy of formation ... -7.84 kcal/mol of atoms
M_tot ... 8.7 μB/cell
E ... -6.408 eV/atom

---

Entry 5:
# TaBeFeRh

An optimized crystal structure of TaBeFeRh (PBE, the Alexandria database).

Cell: 5.9100 5.9100 5.9100 Å, 90.00 90.00 90.00°
With the nearest neighbours (Å) after each atom.
Space group F-43m (No. 216)
Unique sites:
Ta1 0.0000 0.0000 0.0000 x4  4 Fe 2.56, 4 Rh 2.56
Be1 0.0000 0.0000 0.5000 x4  4 Fe 2.56, 4 Rh 2.56
Fe1 0.2500 0.2500 0.7500 x4  4 Ta 2.56, 4 Be 2.56
Rh1 0.2500 0.2500 0.2500 x4  4 Ta 2.56, 4 Be 2.56

ρ ... 11.22 g/cm3
Energy of formation ... -8.32 kcal/mol of atoms
M_tot ... 0.0 μB/cell
E ... -8.209 eV/atom

---

Entry 6:
# BeFeTeRh2

An optimized crystal structure of BeFeTeRh2 (PBE, the Alexandria database).

Cell: 4.2073 4.2073 4.2162 Å, 90.00 90.00 90.00°
With the nearest neighbours (Å) after each atom.
Space group P4/mmm (No. 123)
Unique sites:
Be1 0.0000 0.0000 0.0000 x1  4 Rh 2.10, 2 Fe 2.11
Fe1 0.0000 0.0000 0.5000 x1  2 Be 2.11
Te1 0.5000 0.5000 0.5000 x1  4 Fe 2.98, 8 Rh 2.98
Rh1 0.0000 0.5000 0.0000 x2  2 Be 2.10

ρ ... 8.86 g/cm3
Uncorrected formation energy ... 0.194 eV/atom
M_tot ... 3.0 μB/cell
E ... -5.812 eV/atom

---

Entry 7:
# BeTl2FeRh

An optimized crystal structure of BeTl2FeRh (PBE, the Alexandria database).

Cell: 5.2188 5.2188 4.7439 Å, 90.00 90.00 90.00°
With the nearest neighbours (Å) after each atom.
Space group P4/mmm (No. 123)
Unique sites:
Be1 0.0000 0.0000 0.0000 x1  8 Tl 3.53, 4 Fe 3.69
Tl1 0.0000 0.5000 0.5000 x2  2 Rh 2.61
Fe1 0.5000 0.5000 0.0000 x1  2 Rh 2.37
Rh1 0.5000 0.5000 0.5000 x1  2 Fe 2.37, 4 Tl 2.61

ρ ... 7.41 g/cm3
Energy of formation ... 23.14 kcal/mol of atoms
M_tot ... 3.6 μB/cell
E ... -3.851 eV/atom

---

Entry 8:
# BeFeRu

An optimized crystal structure of BeFeRu (PBE, the Alexandria database).

Cell: 4.7400 4.0107 7.0319 Å, 90.00 90.00 90.00°
With the nearest neighbours (Å) after each atom.
Space group Pnma (No. 62)
Unique sites:
Be1 0.2056 0.2500 0.0843 x4  5 Ru 2.35-2.38, 3 Fe 2.43-2.51
Fe1 0.0177 0.2500 0.7629 x4  2 Fe 2.38, 3 Be 2.43-2.51, 5 Ru 2.58-2.64
Ru1 0.2027 0.2500 0.4185 x4  5 Be 2.35-2.38, 3 Fe 2.58-2.60

ρ ... 8.24 g/cm3
Distance to the lowest polymorph of the same formula ... 3.50 kJ per mole of atoms
Energy of formation ... -2.17 kcal/mol of atoms
M_tot ... 10.1 μB/cell
E ... -7.249 eV/atom

---

Entry 9:
# Be3FeRu

An optimized crystal structure of Be3FeRu (PBE, the Alexandria database).

Cell: 4.2640 4.1877 5.4601 Å, 90.00 99.66 90.00°
With the nearest neighbours (Å) after each atom.
Space group P2_1/m (No. 11)
Unique sites:
Be1 0.0000 0.0000 0.0000 x2  6 Be 2.09-2.15
Be2 0.0675 0.2500 0.3396 x2  3 Be 2.11-2.14, 3 Ru 2.33-2.35
Be3 0.2244 0.2500 0.7327 x2  3 Be 2.14-2.15, 2 Ru 2.20-2.27, 1 Fe 2.28
Fe1 0.4814 0.7500 0.8778 x2  9 Be 2.28-2.49, 2 Fe 2.47
Ru1 0.3108 0.7500 0.3936 x2  5 Be 2.20-2.35

ρ ... 6.36 g/cm3
Distance to the lowest polymorph of the same formula ... 0.00 kJ per mole of atoms
Energy of formation ... -4.08 kcal/mol of atoms
M_tot ... 3.5 μB/cell
E ... -5.960 eV/atom

---

Entry 10:
# BeFeRu

An optimized crystal structure of BeFeRu (PBE, the Alexandria database).

Cell: 3.4210 3.4210 8.7481 Å, 90.00 90.00 120.00°
With the nearest neighbours (Å) after each atom.
Space group P6_3/mmc (No. 194)
Unique sites:
Be1 0.3333 0.6667 0.2500 x2  3 Fe 1.98
Fe1 0.0000 0.0000 0.2500 x2  3 Be 1.98, 2 Ru 2.19
Ru1 0.0000 0.0000 0.0000 x2  2 Fe 2.19

ρ ... 6.22 g/cm3
Distance to the lowest polymorph of the same formula ... 164.42 kJ per mole of atoms
Energy of formation ... 36.29 kcal/mol of atoms
M_tot ... 0.0 μB/cell
E ... -5.581 eV/atom

---

Entry 11:
# Be2FeRu2

An optimized crystal structure of Be2FeRu2 (PBE, the Alexandria database).

Cell: 6.0526 6.0526 2.9963 Å, 90.00 90.00 90.00°
With the nearest neighbours (Å) after each atom.
Space group P4/mbm (No. 127)
Unique sites:
Be1 0.1232 0.3768 0.0000 x4  1 Be 2.11, 6 Ru 2.30-2.36
Fe1 0.0000 0.0000 0.0000 x2  4 Be 2.40
Ru1 0.1733 0.6733 0.5000 x4  6 Be 2.30-2.36

ρ ... 8.35 g/cm3
Distance to the lowest polymorph of the same formula ... 0.00 kJ per mole of atoms
Energy of formation ... -5.37 kcal/mol of atoms
M_tot ... 7.2 μB/cell
E ... -7.126 eV/atom

---

Entry 12:
# BeFeRu

An optimized crystal structure of BeFeRu (PBE, the Alexandria database).

Cell: 4.0176 4.0176 4.9266 Å, 90.00 90.00 120.00°
With the nearest neighbours (Å) after each atom.
Space group P6_3/mmc (No. 194)
Unique sites:
Be1 0.0000 0.0000 0.0000 x2  2 Be 2.46, 6 Fe 2.63, 6 Ru 2.63
Fe1 0.3333 0.6667 0.2500 x2  5 Ru 2.32-2.46
Ru1 0.3333 0.6667 0.7500 x2  5 Fe 2.32-2.46

ρ ... 8.00 g/cm3
Distance to the lowest polymorph of the same formula ... 31.77 kJ per mole of atoms
Energy of formation ... 4.59 kcal/mol of atoms
M_tot ... 0.0 μB/cell
E ... -6.956 eV/atom

---

Entry 13:
# Be2Fe2Ru

An optimized crystal structure of Be2Fe2Ru (PBE, the Alexandria database).

Cell: 6.0279 6.0279 2.8535 Å, 90.00 90.00 90.00°
With the nearest neighbours (Å) after each atom.
Space group P4/mbm (No. 127)
Unique sites:
Be1 0.1261 0.3739 0.0000 x4  1 Be 2.15, 6 Fe 2.26-2.29, 2 Ru 2.38
Fe1 0.1689 0.6689 0.5000 x4  6 Be 2.26-2.29
Ru1 0.0000 0.0000 0.0000 x2  4 Be 2.38, 8 Fe 2.66

ρ ... 7.39 g/cm3
Energy of formation ... -2.72 kcal/mol of atoms
M_tot ... 9.3 μB/cell
E ... -6.849 eV/atom

---

Entry 14:
# BeFeRu

An optimized crystal structure of BeFeRu (PBE, the Alexandria database).

Cell: 2.7160 2.7160 8.6431 Å, 90.00 90.00 90.00°
With the nearest neighbours (Å) after each atom.
Space group I4mm (No. 107)
Unique sites:
Be1 0.0000 0.0000 0.0000 x2  4 Fe 2.30, 4 Ru 2.42
Fe1 0.0000 0.0000 0.6457 x2  4 Be 2.30, 4 Ru 2.49
Ru1 0.0000 0.0000 0.3287 x2  4 Be 2.42, 4 Fe 2.49

ρ ... 8.64 g/cm3
Distance to the lowest polymorph of the same formula ... 0.81 kJ per mole of atoms
Energy of formation ... -2.81 kcal/mol of atoms
M_tot ... 0.0 μB/cell
E ... -7.277 eV/atom

---

Entry 15:
# BeFeRu

An optimized crystal structure of BeFeRu (PBE, the Alexandria database).

Cell: 8.8666 2.8074 5.7174 Å, 90.00 110.27 90.00°
With the nearest neighbours (Å) after each atom.
Space group Cm (No. 8)
Unique sites:
Be1 0.0000 0.0000 0.0000 x2  2 Be 2.25, 2 Fe 2.35, 4 Ru 2.40-2.48
Be2 0.1383 0.5000 0.8411 x2  2 Be 2.25, 4 Fe 2.31-2.40, 2 Ru 2.42
Fe1 0.3141 0.0000 0.7105 x2  4 Be 2.35-2.40, 2 Fe 2.40, 3 Ru 2.51-2.53
Fe2 0.4714 0.5000 0.5428 x2  3 Be 2.31-2.54, 2 Fe 2.40, 2 Ru 2.57
Ru1 0.1450 0.5000 0.3455 x2  2 Be 2.40, 4 Fe 2.53-2.61, 3 Ru 2.63-2.67
Ru2 0.3242 0.0000 0.1543 x2  5 Be 2.42-2.70, 3 Fe 2.51-2.57, 3 Ru 2.63-2.67

ρ ... 8.26 g/cm3
Distance to the lowest polymorph of the same formula ... 7.67 kJ per mole of atoms
Energy of formation ... -1.17 kcal/mol of atoms
M_tot ... 8.6 μB/cell
E ... -7.206 eV/atom

---

Entry 16:
# BeFeRu

An optimized crystal structure of BeFeRu (PBE, the Alexandria database).

Cell: 9.2030 2.7095 5.3912 Å, 90.00 107.35 90.00°
With the nearest neighbours (Å) after each atom.
Space group C2/m (No. 12)
Unique sites:
Be1 0.0049 0.0000 0.2222 x4  4 Fe 2.29-2.31, 1 Be 2.37, 4 Ru 2.44-2.45
Fe1 0.1627 0.5000 0.0760 x4  4 Be 2.29-2.31, 2 Fe 2.42, 2 Ru 2.48
Ru1 0.1555 0.5000 0.5849 x4  4 Be 2.44-2.45, 3 Fe 2.48-2.63, 5 Ru 2.58-2.73

ρ ... 8.59 g/cm3
Distance to the lowest polymorph of the same formula ... 0.97 kJ per mole of atoms
Energy of formation ... -2.77 kcal/mol of atoms
M_tot ... 2.6 μB/cell
E ... -7.275 eV/atom

---

Entry 17:
# BeFeRu

An optimized crystal structure of BeFeRu (PBE, the Alexandria database).

Cell: 8.4567 3.9146 4.7178 Å, 90.00 123.22 90.00°
With the nearest neighbours (Å) after each atom.
Space group C2/m (No. 12)
Unique sites:
Be1 0.1548 0.0000 0.2223 x4  1 Be 2.29, 4 Ru 2.34-2.39, 3 Fe 2.34-2.48
Fe1 0.0179 0.5000 0.2680 x4  3 Be 2.34-2.48, 2 Fe 2.37-2.38, 3 Ru 2.52-2.59
Ru1 0.1732 0.0000 0.7448 x4  4 Be 2.34-2.39, 3 Fe 2.52-2.59, 1 Ru 2.55

ρ ... 8.44 g/cm3
Distance to the lowest polymorph of the same formula ... 4.95 kJ per mole of atoms
Energy of formation ... -1.82 kcal/mol of atoms
M_tot ... 5.0 μB/cell
E ... -7.234 eV/atom

---

Entry 18:
# BeFeRu

An optimized crystal structure of BeFeRu (PBE, the Alexandria database).

Cell: 4.0365 2.6970 12.3702 Å, 90.00 90.00 90.00°
With the nearest neighbours (Å) after each atom.
Space group Amm2 (No. 38)
Unique sites:
Be1 0.0000 0.0000 0.0000 x2  6 Fe 2.45-2.52, 4 Ru 2.47, 2 Be 2.70
Be2 0.5000 0.0000 0.2159 x2  4 Fe 2.41-2.50, 6 Ru 2.49-2.50, 2 Be 2.70
Fe1 0.0000 0.0000 0.3345 x2  4 Be 2.45-2.50, 6 Ru 2.47-2.51, 2 Fe 2.70
Fe2 0.5000 0.0000 0.5544 x2  6 Be 2.41-2.52, 4 Ru 2.46-2.49, 2 Fe 2.70
Ru1 0.0000 0.0000 0.6676 x2  4 Fe 2.46-2.47, 6 Be 2.47-2.50, 2 Ru 2.70
Ru2 0.5000 0.0000 0.8853 x2  4 Be 2.47-2.49, 6 Fe 2.49-2.51, 2 Ru 2.70

ρ ... 8.18 g/cm3
Distance to the lowest polymorph of the same formula ... 10.64 kJ per mole of atoms
Energy of formation ... -0.46 kcal/mol of atoms
M_tot ... 0.7 μB/cell
E ... -7.175 eV/atom

---

Entry 19:
# BeFeRu

An optimized crystal structure of BeFeRu (PBE, the Alexandria database).

Cell: 2.7887 3.4858 6.8642 Å, 90.00 101.69 90.00°
With the nearest neighbours (Å) after each atom.
Space group P2_1/m (No. 11)
Unique sites:
Be1 0.0430 0.2500 0.0872 x2  2 Be 2.10, 1 Fe 2.27
Fe1 0.2124 0.2500 0.4243 x2  1 Be 2.27, 4 Fe 2.45, 1 Ru 2.52
Ru1 0.3996 0.2500 0.7987 x2  6 Be 2.36-2.39, 1 Fe 2.52

ρ ... 8.43 g/cm3
Distance to the lowest polymorph of the same formula ... 4.32 kJ per mole of atoms
Energy of formation ... -1.97 kcal/mol of atoms
M_tot ... 3.5 μB/cell
E ... -7.240 eV/atom

---

Entry 20:
# BeFeRu

An optimized crystal structure of BeFeRu (PBE, the Alexandria database).

Cell: 8.4674 2.6776 6.2413 Å, 90.00 111.95 90.00°
With the nearest neighbours (Å) after each atom.
Space group C2/m (No. 12)
Unique sites:
Be1 0.1905 0.0000 0.0946 x4  2 Be 2.26, 2 Fe 2.38, 5 Ru 2.42-2.46
Fe1 0.1574 0.0000 0.5781 x4  2 Be 2.38, 3 Fe 2.47-2.52, 4 Ru 2.51-2.54
Ru1 0.0029 0.5000 0.2211 x4  5 Be 2.42-2.46, 5 Fe 2.51-2.67, 2 Ru 2.68

ρ ... 8.40 g/cm3
Distance to the lowest polymorph of the same formula ... 7.18 kJ per mole of atoms
Energy of formation ... -1.29 kcal/mol of atoms
M_tot ... 5.5 μB/cell
E ... -7.211 eV/atom